Entry 1:
# Zr3MoH (PBE-GGA, relaxed)
data_Zr3MoH
_chemical_formula_sum 'Zr3 Mo1 H1'
_cell_length_a 5.074
_cell_length_b 5.074
_cell_length_c 5.074
_cell_angle_alpha 90.00
_cell_angle_beta 90.00
_cell_angle_gamma 90.00
_space_group_name_H-M_alt 'P m -3 m'
_space_group_IT_number 221
_space_group_name_Hall '-P 4 2 3'
loop_
_atom_site_label
_atom_site_type_symbol
_atom_site_fract_x
_atom_site_fract_y
_atom_site_fract_z
Zr1 Zr 0.000 0.000 0.500
Mo1 Mo 0.000 0.000 0.000
H1 H 0.500 0.500 0.500
# Electronic total energy, eV per cell: -33.2
# DOS(E_F), states/eV/cell: 7.89
# Magnetization, μB/cell: 0.00



Entry 2:
# ZrMoH3 (PBE-GGA, relaxed)
data_ZrMoH3
_chemical_formula_sum 'Zr1 Mo1 H3'
_cell_length_a 3.656
_cell_length_b 3.656
_cell_length_c 3.656
_cell_angle_alpha 90.00
_cell_angle_beta 90.00
_cell_angle_gamma 90.00
_space_group_name_H-M_alt 'P m -3 m'
_space_group_IT_number 221
_space_group_name_Hall '-P 4 2 3'
loop_
_atom_site_label
_atom_site_type_symbol
_atom_site_fract_x
_atom_site_fract_y
_atom_site_fract_z
Zr1 Zr 0.000 0.000 0.000
Mo1 Mo 0.500 0.500 0.500
H1 H 0.000 0.000 0.500
# Electronic total energy, eV per cell: -27.6
# DOS(E_F), states/eV/cell: 2.47
# Magnetization, μB/cell: 0.00



Entry 3:
# NaHN3 (PBE-GGA, relaxed)
data_NaHN3
_chemical_formula_sum 'Na1 H1 N3'
_cell_length_a 3.356
_cell_length_b 3.356
_cell_length_c 3.356
_cell_angle_alpha 90.00
_cell_angle_beta 90.00
_cell_angle_gamma 90.00
_space_group_name_H-M_alt 'P m -3 m'
_space_group_IT_number 221
_space_group_name_Hall '-P 4 2 3'
loop_
_atom_site_label
_atom_site_type_symbol
_atom_site_fract_x
_atom_site_fract_y
_atom_site_fract_z
Na1 Na 0.000 0.000 0.000
H1 H 0.500 0.500 0.500
N1 N 0.000 0.500 0.500
# Electronic total energy, eV per cell: -18.4
# DOS(E_F), states/eV/cell: 2.03
# Magnetization, μB/cell: 0.00



Entry 4:
# Na3HN (PBE-GGA, relaxed)
data_Na3HN
_chemical_formula_sum 'Na3 H1 N1'
_cell_length_a 4.646
_cell_length_b 4.646
_cell_length_c 4.646
_cell_angle_alpha 90.00
_cell_angle_beta 90.00
_cell_angle_gamma 90.00
_space_group_name_H-M_alt 'P m -3 m'
_space_group_IT_number 221
_space_group_name_Hall '-P 4 2 3'
loop_
_atom_site_label
_atom_site_type_symbol
_atom_site_fract_x
_atom_site_fract_y
_atom_site_fract_z
Na1 Na 0.000 0.000 0.500
H1 H 0.500 0.500 0.500
N1 N 0.000 0.000 0.000
# Electronic total energy, eV per cell: -13.8
# DOS(E_F), states/eV/cell: 4.48
# Magnetization, μB/cell: 1.00



Entry 5:
# NaH2N (PBE-GGA, relaxed)
data_NaH2N
_chemical_formula_sum 'Na16 H32 N16'
_cell_length_a 8.363
_cell_length_b 8.741
_cell_length_c 11.012
_cell_angle_alpha 90.00
_cell_angle_beta 90.00
_cell_angle_gamma 90.00
_space_group_name_H-M_alt 'F d d d'
_space_group_IT_number 70
loop_
_space_group_symop_operation_xyz
'x,y,z'
'-x,-y,-z'
'-x+1/4,-y+1/4,z'
'x+1/4,y+1/4,-z'
'x,-y+1/4,-z+1/4'
'-x,y+1/4,z+1/4'
'-x+1/4,y,-z+1/4'
'x+1/4,-y,z+1/4'
'x,y+1/2,z+1/2'
'-x,-y+1/2,-z+1/2'
'-x+1/4,-y+3/4,z+1/2'
'x+1/4,y+3/4,-z+1/2'
'x,-y+3/4,-z+3/4'
'-x,y+3/4,z+3/4'
'-x+1/4,y+1/2,-z+3/4'
'x+1/4,-y+1/2,z+3/4'
'x+1/2,y,z+1/2'
'-x+1/2,-y,-z+1/2'
'-x+3/4,-y+1/4,z+1/2'
'x+3/4,y+1/4,-z+1/2'
'x+1/2,-y+1/4,-z+3/4'
'-x+1/2,y+1/4,z+3/4'
'-x+3/4,y,-z+3/4'
'x+3/4,-y,z+3/4'
'x+1/2,y+1/2,z'
'-x+1/2,-y+1/2,-z'
'-x+3/4,-y+3/4,z'
'x+3/4,y+3/4,-z'
'x+1/2,-y+3/4,-z+1/4'
'-x+1/2,y+3/4,z+1/4'
'-x+3/4,y+1/2,-z+1/4'
'x+3/4,-y+1/2,z+1/4'
loop_
_atom_site_label
_atom_site_type_symbol
_atom_site_fract_x
_atom_site_fract_y
_atom_site_fract_z
Na1 Na 0.125 0.125 0.262
H1 H 0.067 0.325 0.814
N1 N 0.105 0.375 0.375
# Electronic total energy, eV per cell: -285.7
# DOS(E_F), states/eV/cell: 0.00
# Magnetization, μB/cell: 0.00



Entry 6:
# NaH6N4 (PBE-GGA, relaxed)
data_NaH6N4
_chemical_formula_sum 'Na2 H12 N8'
_cell_length_a 4.836
_cell_length_b 4.836
_cell_length_c 6.225
_cell_angle_alpha 90.00
_cell_angle_beta 90.00
_cell_angle_gamma 90.00
_space_group_name_H-M_alt 'I -4 2 m'
_space_group_IT_number 121
_space_group_name_Hall 'I -4 2'
loop_
_atom_site_label
_atom_site_type_symbol
_atom_site_fract_x
_atom_site_fract_y
_atom_site_fract_z
Na1 Na 0.000 0.000 0.000
H1 H 0.000 0.500 0.000
H2 H 0.208 0.208 0.656
N1 N 0.229 0.229 0.308
# Electronic total energy, eV per cell: -82.9
# DOS(E_F), states/eV/cell: 6.13
# Magnetization, μB/cell: 0.00



Entry 7:
# Na3HN (PBE-GGA, relaxed)
data_Na3HN
_chemical_formula_sum 'Na12 H4 N4'
_cell_length_a 10.045
_cell_length_b 7.705
_cell_length_c 7.913
_cell_angle_alpha 90.00
_cell_angle_beta 128.67
_cell_angle_gamma 90.00
_space_group_name_H-M_alt 'C 1 2/m 1'
_space_group_IT_number 12
loop_
_space_group_symop_operation_xyz
'x,y,z'
'-x,-y,-z'
'-x,y,-z'
'x,-y,z'
'x+1/2,y+1/2,z'
'-x+1/2,-y+1/2,-z'
'-x+1/2,y+1/2,-z'
'x+1/2,-y+1/2,z'
loop_
_atom_site_label
_atom_site_type_symbol
_atom_site_fract_x
_atom_site_fract_y
_atom_site_fract_z
Na1 Na 0.094 0.209 0.293
Na2 Na 0.138 0.500 0.731
H1 H 0.208 0.500 0.370
N1 N 0.169 0.500 0.465
# Electronic total energy, eV per cell: -63.5
# DOS(E_F), states/eV/cell: 4.87
# Magnetization, μB/cell: 0.00



Entry 8:
# Na2H7N2 (PBE-GGA, relaxed)
data_Na2H7N2
_chemical_formula_sum 'Na4 H14 N4'
_cell_length_a 7.085
_cell_length_b 7.728
_cell_length_c 7.115
_cell_angle_alpha 90.00
_cell_angle_beta 91.63
_cell_angle_gamma 90.00
_space_group_name_H-M_alt 'C 1 2/m 1'
_space_group_IT_number 12
loop_
_space_group_symop_operation_xyz
'x,y,z'
'-x,-y,-z'
'-x,y,-z'
'x,-y,z'
'x+1/2,y+1/2,z'
'-x+1/2,-y+1/2,-z'
'-x+1/2,y+1/2,-z'
'x+1/2,-y+1/2,z'
loop_
_atom_site_label
_atom_site_type_symbol
_atom_site_fract_x
_atom_site_fract_y
_atom_site_fract_z
Na1 Na 0.000 0.239 0.000
H1 H 0.000 0.500 0.500
H2 H 0.227 0.394 0.605
H3 H 0.249 0.000 0.600
N1 N 0.183 0.500 0.527
# Electronic total energy, eV per cell: -87.9
# DOS(E_F), states/eV/cell: 5.97
# Magnetization, μB/cell: 0.00



Entry 9:
# NaH12N3 (PBE-GGA, relaxed)
data_NaH12N3
_chemical_formula_sum 'Na3 H36 N9'
_cell_length_a 8.9326
_cell_length_b 8.9326
_cell_length_c 10.4047
_cell_angle_alpha 90.00
_cell_angle_beta 90.00
_cell_angle_gamma 120.00
_space_group_name_H-M_alt 'R 3 m'
_space_group_IT_number 160
_space_group_name_Hall 'R 3 -2"'
loop_
_atom_site_label
_atom_site_type_symbol
_atom_site_fract_x
_atom_site_fract_y
_atom_site_fract_z
Na1 Na 0.0000 0.0000 0.0000
H1 H 0.0391 0.2701 0.3354
H2 H 0.1997 0.3994 0.2313
H3 H 0.2212 0.1106 0.7274
N1 N 0.1735 0.3470 0.3242
# Electronic total energy, eV per cell: -199.2
# DOS(E_F), states/eV/cell: 13.12
# Magnetization, μB/cell: 0.00



Entry 10:
# NaH2N2 (PBE-GGA, relaxed)
data_NaH2N2
_chemical_formula_sum 'Na2 H4 N4'
_cell_length_a 5.235
_cell_length_b 5.235
_cell_length_c 5.860
_cell_angle_alpha 90.00
_cell_angle_beta 90.00
_cell_angle_gamma 90.00
_space_group_name_H-M_alt 'I 4/m m m'
_space_group_IT_number 139
_space_group_name_Hall '-I 4 2'
loop_
_atom_site_label
_atom_site_type_symbol
_atom_site_fract_x
_atom_site_fract_y
_atom_site_fract_z
Na1 Na 0.000 0.000 0.000
H1 H 0.000 0.500 0.250
N1 N 0.000 0.000 0.405
# Electronic total energy, eV per cell: -43.7
# DOS(E_F), states/eV/cell: 2.83
# Magnetization, μB/cell: 2.00



Entry 11:
# NaH2N (PBE-GGA, relaxed)
data_NaH2N
_chemical_formula_sum 'Na4 H8 N4'
_cell_length_a 4.830
_cell_length_b 4.830
_cell_length_c 4.830
_cell_angle_alpha 90.00
_cell_angle_beta 90.00
_cell_angle_gamma 90.00
_space_group_name_H-M_alt 'F m -3 m'
_space_group_IT_number 225
_space_group_name_Hall '-F 4 2 3'
loop_
_atom_site_label
_atom_site_type_symbol
_atom_site_fract_x
_atom_site_fract_y
_atom_site_fract_z
Na1 Na 0.000 0.000 0.000
H1 H 0.250 0.250 0.250
N1 N 0.000 0.000 0.500
# Electronic total energy, eV per cell: -46.0
# DOS(E_F), states/eV/cell: 2.45
# Magnetization, μB/cell: 0.00



Entry 12:
# NaH2N (PBE-GGA, relaxed)
data_NaH2N
_chemical_formula_sum 'Na4 H8 N4'
_cell_length_a 3.774
_cell_length_b 3.774
_cell_length_c 7.869
_cell_angle_alpha 90.00
_cell_angle_beta 90.00
_cell_angle_gamma 90.00
_space_group_name_H-M_alt 'I 41/a m d'
_space_group_IT_number 141
loop_
_space_group_symop_operation_xyz
'x,y,z'
'-x,-y,-z'
'-y+1/4,x+3/4,z+1/4'
'y+1/4,-x+3/4,-z+1/4'
'-x+1/2,-y,z+1/2'
'x+1/2,y,-z+1/2'
'y+1/4,-x+1/4,z+3/4'
'-y+1/4,x+1/4,-z+3/4'
'x,-y,-z'
'-x,y,z'
'-y+1/4,-x+1/4,-z+3/4'
'y+1/4,x+1/4,z+3/4'
'-x+1/2,y,-z+1/2'
'x+1/2,-y,z+1/2'
'y+1/4,x+3/4,-z+1/4'
'-y+1/4,-x+3/4,z+1/4'
'x+1/2,y+1/2,z+1/2'
'-x+1/2,-y+1/2,-z+1/2'
'-y+3/4,x+1/4,z+3/4'
'y+3/4,-x+1/4,-z+3/4'
'-x,-y+1/2,z'
'x,y+1/2,-z'
'y+3/4,-x+3/4,z+1/4'
'-y+3/4,x+3/4,-z+1/4'
'x+1/2,-y+1/2,-z+1/2'
'-x+1/2,y+1/2,z+1/2'
'-y+3/4,-x+3/4,-z+1/4'
'y+3/4,x+3/4,z+1/4'
'-x,y+1/2,-z'
'x,-y+1/2,z'
'y+3/4,x+1/4,-z+3/4'
'-y+3/4,-x+1/4,z+3/4'
loop_
_atom_site_label
_atom_site_type_symbol
_atom_site_fract_x
_atom_site_fract_y
_atom_site_fract_z
Na1 Na 0.000 0.250 0.375
H1 H 0.000 0.000 0.000
N1 N 0.000 0.250 0.875
# Electronic total energy, eV per cell: -64.3
# DOS(E_F), states/eV/cell: 0.00
# Magnetization, μB/cell: 0.00



Entry 13:
# NaH2N (PBE-GGA, relaxed)
data_NaH2N
_chemical_formula_sum 'Na2 H4 N2'
_cell_length_a 5.322
_cell_length_b 4.974
_cell_length_c 3.621
_cell_angle_alpha 90.00
_cell_angle_beta 117.86
_cell_angle_gamma 90.00
_space_group_name_H-M_alt 'C 1 2 1'
_space_group_IT_number 5
loop_
_space_group_symop_operation_xyz
'x,y,z'
'-x,y,-z'
'x+1/2,y+1/2,z'
'-x+1/2,y+1/2,-z'
loop_
_atom_site_label
_atom_site_type_symbol
_atom_site_fract_x
_atom_site_fract_y
_atom_site_fract_z
Na1 Na 0.000 0.000 0.000
H1 H 0.074 0.541 0.351
N1 N 0.000 0.671 0.500
# Electronic total energy, eV per cell: -35.5
# DOS(E_F), states/eV/cell: 0.00
# Magnetization, μB/cell: 0.00



Entry 14:
# NaH2N (PBE-GGA, relaxed)
data_NaH2N
_chemical_formula_sum 'Na3 H6 N3'
_cell_length_a 2.8088
_cell_length_b 2.8088
_cell_length_c 11.8377
_cell_angle_alpha 90.00
_cell_angle_beta 90.00
_cell_angle_gamma 120.00
_space_group_name_H-M_alt 'R -3 m'
_space_group_IT_number 166
_space_group_name_Hall '-R 3 2"'
loop_
_atom_site_label
_atom_site_type_symbol
_atom_site_fract_x
_atom_site_fract_y
_atom_site_fract_z
Na1 Na 0.0000 0.0000 0.0000
H1 H 0.0000 0.0000 0.1814
N1 N 0.0000 0.0000 0.5000
# Electronic total energy, eV per cell: -40.4
# Magnetization, μB/cell: 0.00



Entry 15:
# NaH6N3 (PBE-GGA, relaxed)
data_NaH6N3
_chemical_formula_sum 'Na1 H6 N3'
_cell_length_a 4.693
_cell_length_b 4.813
_cell_length_c 5.697
_cell_angle_alpha 66.82
_cell_angle_beta 78.49
_cell_angle_gamma 61.60
_space_group_name_H-M_alt 'P 1'
_space_group_IT_number 1
loop_
_space_group_symop_operation_xyz
'x,y,z'
loop_
_atom_site_label
_atom_site_type_symbol
_atom_site_fract_x
_atom_site_fract_y
_atom_site_fract_z
Na1 Na 0.000 0.000 0.000
H1 H 0.211 0.305 0.437
H2 H 0.317 0.240 0.161
H3 H 0.407 0.329 0.731
H4 H 0.594 0.950 0.717
H5 H 0.673 0.617 0.158
H6 H 0.764 0.294 0.432
N1 N 0.142 0.400 0.251
N2 N 0.500 0.078 0.843
N3 N 0.844 0.375 0.247
# Electronic total energy, eV per cell: -48.5
# DOS(E_F), states/eV/cell: 0.00
# Magnetization, μB/cell: 0.00



Entry 16:
# Na3H8N2 (PBE-GGA, relaxed)
data_Na3H8N2
_chemical_formula_sum 'Na9 H24 N6'
_cell_length_a 6.5056
_cell_length_b 6.5056
_cell_length_c 19.7739
_cell_angle_alpha 90.00
_cell_angle_beta 90.00
_cell_angle_gamma 120.00
_space_group_name_H-M_alt 'R -3 m'
_space_group_IT_number 166
_space_group_name_Hall '-R 3 2"'
loop_
_atom_site_label
_atom_site_type_symbol
_atom_site_fract_x
_atom_site_fract_y
_atom_site_fract_z
Na1 Na 0.0000 0.0000 0.0000
Na2 Na 0.0000 0.0000 0.1832
H1 H 0.0000 0.0000 0.3468
H2 H 0.0881 0.1762 0.5831
N1 N 0.0000 0.0000 0.3996
# Electronic total energy, eV per cell: -141.9
# DOS(E_F), states/eV/cell: 8.75
# Magnetization, μB/cell: 0.00



Entry 17:
# NaH8N2 (PBE-GGA, relaxed)
data_NaH8N2
_chemical_formula_sum 'Na4 H32 N8'
_cell_length_a 12.296
_cell_length_b 7.624
_cell_length_c 6.724
_cell_angle_alpha 90.00
_cell_angle_beta 94.62
_cell_angle_gamma 90.00
_space_group_name_H-M_alt 'C 1 2/c 1'
_space_group_IT_number 15
loop_
_space_group_symop_operation_xyz
'x,y,z'
'-x,-y,-z'
'-x,y,-z+1/2'
'x,-y,z+1/2'
'x+1/2,y+1/2,z'
'-x+1/2,-y+1/2,-z'
'-x+1/2,y+1/2,-z+1/2'
'x+1/2,-y+1/2,z+1/2'
loop_
_atom_site_label
_atom_site_type_symbol
_atom_site_fract_x
_atom_site_fract_y
_atom_site_fract_z
Na1 Na 0.000 0.112 0.250
H1 H 0.125 0.298 0.624
H2 H 0.129 0.297 0.879
H3 H 0.129 0.494 0.753
H4 H 0.242 0.359 0.763
N1 N 0.156 0.363 0.755
# Electronic total energy, eV per cell: -179.4
# DOS(E_F), states/eV/cell: 6.84
# Magnetization, μB/cell: 0.00



Entry 18:
# NaH2N2 (PBE-GGA, relaxed)
data_NaH2N2
_chemical_formula_sum 'Na2 H4 N4'
_cell_length_a 6.023
_cell_length_b 6.023
_cell_length_c 4.025
_cell_angle_alpha 90.00
_cell_angle_beta 90.00
_cell_angle_gamma 90.00
_space_group_name_H-M_alt 'P 4/m b m'
_space_group_IT_number 127
_space_group_name_Hall '-P 4 2ab'
loop_
_atom_site_label
_atom_site_type_symbol
_atom_site_fract_x
_atom_site_fract_y
_atom_site_fract_z
Na1 Na 0.000 0.000 0.000
H1 H 0.240 0.260 0.500
N1 N 0.066 0.434 0.000
# Electronic total energy, eV per cell: -43.4
# DOS(E_F), states/eV/cell: 1.44
# Magnetization, μB/cell: 2.01



Entry 19:
# Na2H6N3 (PBE-GGA, relaxed)
data_Na2H6N3
_chemical_formula_sum 'Na2 H6 N3'
_cell_length_a 5.9491
_cell_length_b 5.9491
_cell_length_c 2.5826
_cell_angle_alpha 90.00
_cell_angle_beta 90.00
_cell_angle_gamma 120.00
_space_group_name_H-M_alt 'P -6 2 m'
_space_group_IT_number 189
_space_group_name_Hall 'P -6 -2'
loop_
_atom_site_label
_atom_site_type_symbol
_atom_site_fract_x
_atom_site_fract_y
_atom_site_fract_z
Na1 Na 0.3333 0.6667 0.0000
H1 H 0.0000 0.1619 0.5000
H2 H 0.0000 0.7271 0.0000
N1 N 0.0000 0.7438 0.5000
# Electronic total energy, eV per cell: -46.1
# DOS(E_F), states/eV/cell: 4.09
# Magnetization, μB/cell: 0.00



Entry 20:
# Na2H6N3 (PBE-GGA, relaxed)
data_Na2H6N3
_chemical_formula_sum 'Na8 H24 N12'
_cell_length_a 10.778
_cell_length_b 7.044
_cell_length_c 7.700
_cell_angle_alpha 90.00
_cell_angle_beta 122.21
_cell_angle_gamma 90.00
_space_group_name_H-M_alt 'C 1 2/c 1'
_space_group_IT_number 15
loop_
_space_group_symop_operation_xyz
'x,y,z'
'-x,-y,-z'
'-x,y,-z+1/2'
'x,-y,z+1/2'
'x+1/2,y+1/2,z'
'-x+1/2,-y+1/2,-z'
'-x+1/2,y+1/2,-z+1/2'
'x+1/2,-y+1/2,z+1/2'
loop_
_atom_site_label
_atom_site_type_symbol
_atom_site_fract_x
_atom_site_fract_y
_atom_site_fract_z
Na1 Na 0.201 0.080 0.349
H1 H 0.026 0.210 0.870
H2 H 0.054 0.383 0.123
H3 H 0.117 0.442 0.779
N1 N 0.000 0.119 0.750
N2 N 0.138 0.416 0.270
# Electronic total energy, eV per cell: -198.5
# DOS(E_F), states/eV/cell: 3.83
# Magnetization, μB/cell: 4.03